Entry i
This record from OQMD via LeMat-Bulk describes a relaxed PaMoPt crystal. The functional is PBE-GGA.

Summary:
Calculated volume   22.160 A^3/atom
Total magnetization   0.26 μB per formula unit

Unit cell a=4.5471 b=4.5471 c=4.5471 alpha=60.00 beta=60.00 gamma=60.00
Positions (direct):
Pa: 0.0000 0.0000 0.0000
Mo: 0.7500 0.7500 0.7500
Pt: 0.2500 0.2500 0.2500

Entry ii
This record from OQMD via LeMat-Bulk describes a relaxed PaMoPt crystal. The functional is PBE-GGA.

Summary:
Calculated volume   21.268 A^3/atom
Total magnetization   0.01 μB per formula unit

Unit cell a=4.4853 b=4.4853 c=4.4853 alpha=60.00 beta=60.00 gamma=60.00
Positions (direct):
Pa: 0.0000 0.0000 0.0000
Mo: 0.2500 0.2500 0.2500
Pt: 0.5000 0.5000 0.5000

Most stable structure, least stable structure: entry ii, entry i.

Entry i
This record from OQMD via LeMat-Bulk describes a relaxed ScPaMo crystal. The functional is PBE-GGA.

Summary:
Calculated volume   23.507 A^3/atom
Total magnetization   0.36 μB per formula unit

Unit cell a=4.6374 b=4.6374 c=4.6374 alpha=60.00 beta=60.00 gamma=60.00
Positions (direct):
Sc: 0.0000 0.0000 0.0000
Pa: 0.7500 0.7500 0.7500
Mo: 0.5000 0.5000 0.5000

Entry ii
This record from OQMD via LeMat-Bulk describes a relaxed ScPaMo crystal. The functional is PBE-GGA.

Summary:
Calculated volume   23.984 A^3/atom
Total magnetization   0.00 μB per formula unit

Unit cell a=4.6686 b=4.6686 c=4.6686 alpha=60.00 beta=60.00 gamma=60.00
Positions (direct):
Sc: 0.0000 0.0000 0.0000
Pa: 0.5000 0.5000 0.5000
Mo: 0.7500 0.7500 0.7500

Most stable structure, least stable structure: entry ii, entry i.

Entry i
This record from OQMD via LeMat-Bulk describes a relaxed PaSiMo crystal. The functional is PBE-GGA.

Summary:
Calculated volume   21.031 A^3/atom
Total magnetization   0.00 μB per formula unit

Unit cell a=4.4685 b=4.4685 c=4.4685 alpha=60.00 beta=60.00 gamma=60.00
Positions (direct):
Pa: 0.0000 0.0000 0.0000
Si: 0.7500 0.7500 0.7500
Mo: 0.5000 0.5000 0.5000

Entry ii
This record from OQMD via LeMat-Bulk describes a relaxed PaSiMo crystal. The functional is PBE-GGA.

Summary:
Calculated volume   18.917 A^3/atom
Total magnetization   0.04 μB per formula unit

Unit cell a=6.9303 b=4.5619 c=7.1803 alpha=90.00 beta=90.00 gamma=90.00
Positions (direct):
Pa: 0.0177 0.2500 0.1939
Pa: 0.4823 0.7500 0.6939
Pa: 0.5177 0.2500 0.3061
Pa: 0.9823 0.7500 0.8061
Si: 0.2079 0.2500 0.6128
Si: 0.2921 0.7500 0.1128
Si: 0.7079 0.2500 0.8872
Si: 0.7921 0.7500 0.3872
Mo: 0.1598 0.7500 0.4567
Mo: 0.3402 0.2500 0.9567
Mo: 0.6598 0.7500 0.0433
Mo: 0.8402 0.2500 0.5433

Entry iii
This record from OQMD via LeMat-Bulk describes a relaxed PaSiMo crystal. The functional is PBE-GGA.

Summary:
Calculated volume   22.097 A^3/atom
Total magnetization   0.01 μB per formula unit

Unit cell a=4.5428 b=4.5428 c=4.5428 alpha=60.00 beta=60.00 gamma=60.00
Positions (direct):
Pa: 0.0000 0.0000 0.0000
Si: 0.2500 0.2500 0.2500
Mo: 0.7500 0.7500 0.7500

Most stable structure, least stable structure: entry ii, entry iii.

Entry i
This record from OQMD via LeMat-Bulk describes a relaxed PaTcMo crystal. The functional is PBE-GGA.

Summary:
Calculated volume   20.254 A^3/atom
Total magnetization   0.00 μB per formula unit

Unit cell a=4.4128 b=4.4128 c=4.4128 alpha=60.00 beta=60.00 gamma=60.00
Positions (direct):
Pa: 0.0000 0.0000 0.0000
Tc: 0.2500 0.2500 0.2500
Mo: 0.7500 0.7500 0.7500

Entry ii
This record from OQMD via LeMat-Bulk describes a relaxed PaTcMo crystal. The functional is PBE-GGA.

Summary:
Calculated volume   20.681 A^3/atom
Total magnetization   0.00 μB per formula unit

Unit cell a=4.4436 b=4.4436 c=4.4436 alpha=60.00 beta=60.00 gamma=60.00
Positions (direct):
Pa: 0.0000 0.0000 0.0000
Tc: 0.5000 0.5000 0.5000
Mo: 0.2500 0.2500 0.2500

Most stable structure, least stable structure: entry ii, entry i.

Entry i
This record from OQMD via LeMat-Bulk describes a relaxed PaZnMo crystal. The functional is PBE-GGA.

Summary:
Calculated volume   22.156 A^3/atom
Total magnetization   0.01 μB per formula unit

Unit cell a=4.5468 b=4.5468 c=4.5468 alpha=60.00 beta=60.00 gamma=60.00
Positions (direct):
Pa: 0.0000 0.0000 0.0000
Zn: 0.2500 0.2500 0.2500
Mo: 0.7500 0.7500 0.7500

Entry ii
This record from OQMD via LeMat-Bulk describes a relaxed PaZnMo crystal. The functional is PBE-GGA.

Summary:
Calculated volume   21.224 A^3/atom
Total magnetization   0.01 μB per formula unit

Unit cell a=4.4822 b=4.4822 c=4.4822 alpha=60.00 beta=60.00 gamma=60.00
Positions (direct):
Pa: 0.0000 0.0000 0.0000
Zn: 0.5000 0.5000 0.5000
Mo: 0.2500 0.2500 0.2500

Most stable structure, least stable structure: entry ii, entry i.

Entry i
This record from OQMD via LeMat-Bulk describes a relaxed TmMoPb crystal. The functional is PBE-GGA.

Summary:
Calculated volume   28.460 A^3/atom
Total magnetization   3.24 μB per formula unit

Unit cell a=4.9426 b=4.9426 c=4.9426 alpha=60.00 beta=60.00 gamma=60.00
Positions (direct):
Tm: 0.0000 0.0000 0.0000
Mo: 0.7500 0.7500 0.7500
Pb: 0.2500 0.2500 0.2500

Entry ii
This record from OQMD via LeMat-Bulk describes a relaxed TmMoPb crystal. The functional is PBE-GGA.

Summary:
Calculated volume   25.628 A^3/atom
Total magnetization   0.33 μB per formula unit

Unit cell a=4.7729 b=4.7729 c=4.7729 alpha=60.00 beta=60.00 gamma=60.00
Positions (direct):
Tm: 0.0000 0.0000 0.0000
Mo: 0.5000 0.5000 0.5000
Pb: 0.7500 0.7500 0.7500

Most stable structure, least stable structure: entry ii, entry i.

Entry i
This record from OQMD via LeMat-Bulk describes a relaxed UMoPb crystal. The functional is PBE-GGA.

Summary:
Calculated volume   24.794 A^3/atom
Total magnetization   2.13 μB per formula unit

Unit cell a=4.7206 b=4.7206 c=4.7206 alpha=60.00 beta=60.00 gamma=60.00
Positions (direct):
U: 0.0000 0.0000 0.0000
Mo: 0.7500 0.7500 0.7500
Pb: 0.5000 0.5000 0.5000

Entry ii
This record from OQMD via LeMat-Bulk describes a relaxed UMoPb crystal. The functional is PBE-GGA.

Summary:
Calculated volume   26.510 A^3/atom
Total magnetization   0.50 μB per formula unit

Unit cell a=4.8271 b=4.8271 c=4.8271 alpha=60.00 beta=60.00 gamma=60.00
Positions (direct):
U: 0.0000 0.0000 0.0000
Mo: 0.2500 0.2500 0.2500
Pb: 0.7500 0.7500 0.7500

Most stable structure, least stable structure: entry i, entry ii.

Entry i
This record from OQMD via LeMat-Bulk describes a relaxed PuMoPd crystal. The functional is PBE-GGA.

Summary:
Calculated volume   20.051 A^3/atom
Total magnetization   3.25 μB per formula unit

Unit cell a=4.3980 b=4.3980 c=4.3980 alpha=60.00 beta=60.00 gamma=60.00
Positions (direct):
Pu: 0.0000 0.0000 0.0000
Mo: 0.2500 0.2500 0.2500
Pd: 0.7500 0.7500 0.7500

Entry ii
This record from OQMD via LeMat-Bulk describes a relaxed PuMoPd crystal. The functional is PBE-GGA.

Summary:
Calculated volume   20.425 A^3/atom
Total magnetization   4.05 μB per formula unit

Unit cell a=4.4252 b=4.4252 c=4.4252 alpha=60.00 beta=60.00 gamma=60.00
Positions (direct):
Pu: 0.0000 0.0000 0.0000
Mo: 0.7500 0.7500 0.7500
Pd: 0.5000 0.5000 0.5000

Most stable structure, least stable structure: entry ii, entry i.